The following is a DFT calculation (PBE-GGA) of a relaxed structure of LaTi2SiGe.

Cell and atoms, written as extended XYZ:
```
5
Lattice="4.758 0.000 0.000 0.000 4.921 0.000 0.000 0.000 4.758" Properties=species:S:1:pos:R:3 pbc="T T T"
Ge 0.000 2.460 0.000
Ti 0.000 0.000 2.379
Ti 2.379 0.000 0.000
Si 0.000 0.000 0.000
La 2.379 2.460 2.379
```

Results
* uncorrected energy: -6.02 eV per atom
* symmetry: P4/mmm
* uncorrected formation energy: 133 meV/atom

=====

The following is a DFT calculation (PBE-GGA) of a relaxed structure of K4La3SmSe8.

Cell and atoms, written as extended XYZ:
```
16
Lattice="8.817 0.000 0.000 0.000 9.215 0.270 -4.408 -4.404 6.238" Properties=species:S:1:pos:R:3 pbc="T T T"
K 4.408 0.000 0.000
K 2.204 -2.202 3.119
K 0.000 0.000 0.000
K -2.204 -2.202 3.119
La 4.408 4.608 0.135
La 2.204 2.406 3.254
La -2.204 2.406 3.254
Sm 0.000 4.608 0.135
Se -2.243 2.245 6.284
Se 0.000 4.486 3.110
Se 0.000 0.338 3.351
Se 2.243 2.245 6.284
Se 2.165 2.566 0.224
Se 4.408 4.474 3.156
Se 4.408 0.325 3.398
Se 6.652 2.566 0.224
```

Results
* uncorrected energy: -5.05 eV per atom
* symmetry: R-3m
* uncorrected formation energy: -1812 meV/atom

=====

The following is a DFT calculation (PBE-GGA) of a relaxed structure of CdP2Au.

Cell and atoms, written as extended XYZ:
```
4
Lattice="-0.152 2.049 2.415 -3.086 -0.639 0.348 1.723 -5.647 4.900" Properties=species:S:1:pos:R:3 pbc="T T T"
Au 0.861 -2.823 2.449
Cd -0.348 -3.461 4.996
P 0.311 -1.021 0.885
P -1.478 0.243 1.782
```

Results
* energy relative to the elements: 24.6 meV per atom
* uncorrected energy: -3.73 eV per atom
* symmetry: P4mm